Material: Li2TlSnCl8
Method: DFT, PBE
State: relaxed

As for the space-group type: P-1.

abc: 6.369 6.390 8.267
angles: 86.81 86.66 80.77
Positions (direct):
Li 0.049 0.048 0.248
Li 0.951 0.952 0.752
Tl 0.500 0.500 0.500
Sn 0.500 0.500 0.000
Cl 0.174 0.827 0.500
Cl 0.199 0.804 0.000
Cl 0.310 0.314 0.225
Cl 0.320 0.324 0.807
Cl 0.680 0.676 0.193
Cl 0.690 0.686 0.775
Cl 0.801 0.196 0.000
Cl 0.826 0.173 0.500

---

Material: KIn4S7
Method: DFT, PBE
State: relaxed

As for the space-group type: Pmn2_1.

abc: 16.013 6.697 6.378
angles: 90.00 90.00 90.00
Positions (direct):
K 0.000 0.211 0.000
K 0.500 0.789 0.500
In 0.119 0.670 0.563
In 0.250 0.186 0.547
In 0.250 0.814 0.047
In 0.381 0.330 0.063
In 0.619 0.330 0.063
In 0.750 0.186 0.547
In 0.750 0.814 0.047
In 0.881 0.670 0.563
S 0.000 0.859 0.407
S 0.111 0.695 0.951
S 0.112 0.317 0.451
S 0.244 0.182 0.947
S 0.256 0.818 0.447
S 0.388 0.683 0.951
S 0.389 0.305 0.451
S 0.500 0.141 0.907
S 0.611 0.305 0.451
S 0.612 0.683 0.951
S 0.744 0.818 0.447
S 0.756 0.182 0.947
S 0.888 0.317 0.451
S 0.889 0.695 0.951

---

Material: IrIO
Method: DFT, PBE
State: relaxed

As for the space-group type: Cm. The energy above the lowest structure with this stoichiometry is 38 meV per atom.

abc: 6.930 6.930 5.915
angles: 109.18 109.18 31.51
Positions (direct):
Ir 0.000 0.000 0.000
Ir 0.051 0.051 0.609
I 0.400 0.400 0.441
I 0.698 0.698 0.787
O 0.098 0.098 0.317
O 0.489 0.489 0.992

---

Values for formation energy (no corrections), meV/atom, ordered as above
-1122.2; -563.1; -57.6